# 1
This record from the Alexandria database describes an optimized crystal structure of Na2ZnAg. The functional is GGA-PBE. Values from VASP.

## Properties
SG   R-3m (166)
DFT formation energy   0.1839 eV/atom
Uncorrected energy   -6.0 eV/cell

The structure in Quantum ESPRESSO input format:
```
&SYSTEM
  ibrav = 0, nat = 4, ntyp = 3
/
ATOMIC_SPECIES
Na 22.99 Na.upf
Zn 65.41 Zn.upf
Ag 107.87 Ag.upf
CELL_PARAMETERS angstrom
-1.2972 2.8213 0.4012
-2.5258 0.8124 -1.6624
-7.7261 -2.8658 7.3900
ATOMIC_POSITIONS crystal
Na 0.0908 0.0908 0.7277
Na 0.9092 0.9092 0.2723
Zn 0.0000 0.0000 0.0000
Ag 0.5000 0.5000 0.5000
```

# 2
This record from the Alexandria database describes an optimized crystal structure of CaPtS. The functional is GGA-PBE. Values from VASP.

## Properties
SG   Pnma (62)
Uncorrected energy   -63.9 eV/cell
Raw formation energy   -1.270 eV per atom

The structure in Quantum ESPRESSO input format:
```
&SYSTEM
  ibrav = 0, nat = 12, ntyp = 3
/
ATOMIC_SPECIES
Ca 40.08 Ca.upf
S 32.06 S.upf
Pt 195.08 Pt.upf
CELL_PARAMETERS angstrom
6.3864 0.0000 0.0000
0.0000 3.7103 0.0000
0.0000 0.0000 10.1645
ATOMIC_POSITIONS crystal
Ca 0.8360 0.2500 0.3570
Ca 0.6640 0.7500 0.8570
Ca 0.1640 0.7500 0.6430
Ca 0.3360 0.2500 0.1430
S 0.3210 0.2500 0.8518
S 0.1790 0.7500 0.3518
S 0.6790 0.7500 0.1482
S 0.8210 0.2500 0.6482
Pt 0.3812 0.2500 0.4469
Pt 0.1188 0.7500 0.9469
Pt 0.6188 0.7500 0.5531
Pt 0.8812 0.2500 0.0531
```

# 3
This record from the Alexandria database describes an optimized crystal structure of CsMg3S. The functional is GGA-PBE. Values from VASP.

## Properties
SG   Pm-3m (221)
Polymorph energy (0 for the lowest one)   0.000 eV per atom
Uncorrected energy   -9.0 eV/cell
Raw formation energy   0.161 eV per atom

The structure in Quantum ESPRESSO input format:
```
&SYSTEM
  ibrav = 0, nat = 5, ntyp = 3
/
ATOMIC_SPECIES
Cs 132.91 Cs.upf
S 32.06 S.upf
Mg 24.30 Mg.upf
CELL_PARAMETERS angstrom
5.4986 0.0000 0.0000
0.0000 5.4986 0.0000
0.0000 0.0000 5.4986
ATOMIC_POSITIONS crystal
Cs 0.5000 0.5000 0.5000
S 0.0000 0.0000 0.0000
Mg 0.0000 0.5000 0.0000
Mg 0.0000 0.0000 0.5000
Mg 0.5000 0.0000 0.0000
```

# 4
This record from the Alexandria database describes an optimized crystal structure of MgBeHg2. The functional is GGA-PBE. Values from VASP.

## Properties
SG   C2/m (12)
DFT formation energy   0.3120 eV/atom
Polymorph energy (0 for the lowest one)   0.154 eV per atom
Uncorrected energy   -4.7 eV/cell

The structure in Quantum ESPRESSO input format:
```
&SYSTEM
  ibrav = 0, nat = 4, ntyp = 3
/
ATOMIC_SPECIES
Be 9.01 Be.upf
Mg 24.30 Mg.upf
Hg 200.59 Hg.upf
CELL_PARAMETERS angstrom
-5.2582 1.2176 -0.3110
2.0429 -4.3654 -2.7713
-0.5279 -2.7824 1.7710
ATOMIC_POSITIONS crystal
Be 0.5000 0.5000 0.0000
Mg 0.0000 0.5000 0.5000
Hg 0.0000 0.0000 0.0000
Hg 0.5000 0.0000 0.5000
```

# 5
This record from the Alexandria database describes an optimized crystal structure of Y2As. The functional is GGA-PBE. Values from VASP.

## Properties
SG   Pnnm (58)
DFT formation energy   -0.8662 eV/atom
Uncorrected energy   -40.4 eV/cell

The structure in Quantum ESPRESSO input format:
```
&SYSTEM
  ibrav = 0, nat = 6, ntyp = 2
/
ATOMIC_SPECIES
Y 88.91 Y.upf
As 74.92 As.upf
CELL_PARAMETERS angstrom
4.0112 0.0000 0.0000
0.0000 6.5700 0.0000
0.0000 0.0000 6.7537
ATOMIC_POSITIONS crystal
Y 0.0000 0.2418 0.6551
Y 0.0000 0.7582 0.3449
Y 0.5000 0.7418 0.8449
Y 0.5000 0.2582 0.1551
As 0.0000 0.0000 0.0000
As 0.5000 0.5000 0.5000
```

# 6
This record from the Alexandria database describes an optimized crystal structure of TcNi3Se. The functional is GGA-PBE. Values from VASP.

## Properties
SG   Pm-3m (221)
Polymorph energy (0 for the lowest one)   0.546 eV per atom
Uncorrected energy   -24.5 eV/cell
Raw formation energy   1.341 eV per atom

The structure in Quantum ESPRESSO input format:
```
&SYSTEM
  ibrav = 0, nat = 5, ntyp = 3
/
ATOMIC_SPECIES
Ni 58.69 Ni.upf
Tc 98.00 Tc.upf
Se 78.96 Se.upf
CELL_PARAMETERS angstrom
-0.2447 -4.4733 0.1611
1.5321 -0.2353 -4.2064
4.2058 -0.1745 1.5417
ATOMIC_POSITIONS crystal
Ni 0.0000 0.5000 0.0000
Ni 0.0000 0.0000 0.5000
Ni 0.5000 0.0000 0.0000
Tc 0.0000 0.0000 0.0000
Se 0.5000 0.5000 0.5000
```